Below is crystalline Cs5HgPb6 at its relaxed geometry, with properties calculated at the GGA-PBE level.

a = 9.655 Å, b = 9.655 Å, c = 9.383 Å
α = 100.11°, β = 100.11°, γ = 130.90°
Positions (direct):
Cs (0.000, 0.000, 0.000)
Cs (0.139, 0.861, 0.500)
Cs (0.278, 0.722, 0.000)
Cs (0.722, 0.278, 0.000)
Cs (0.861, 0.139, 0.500)
Hg (0.500, 0.500, 0.500)
Pb (0.252, 0.525, 0.314)
Pb (0.399, 0.399, 0.808)
Pb (0.475, 0.748, 0.686)
Pb (0.525, 0.252, 0.314)
Pb (0.601, 0.601, 0.192)
Pb (0.748, 0.475, 0.686)



Below is crystalline Cs4Hg2Pb at its relaxed geometry, with properties calculated at the GGA-PBE level.

a = 11.731 Å, b = 11.731 Å, c = 11.731 Å
α = 142.94°, β = 142.94°, γ = 53.42°
Positions (direct):
Cs (0.000, 0.500, 0.500)
Cs (0.181, 0.181, 0.000)
Cs (0.500, 0.000, 0.500)
Cs (0.819, 0.819, 0.000)
Hg (0.358, 0.358, 0.000)
Hg (0.642, 0.642, 0.000)
Pb (0.500, 0.500, 0.000)



Below is crystalline Cs2HgPb2 at its relaxed geometry, with properties calculated at the GGA-PBE level.

a = 8.802 Å, b = 8.802 Å, c = 8.853 Å
α = 110.18°, β = 110.18°, γ = 85.19°
Positions (direct):
Cs (0.015, 0.601, 0.790)
Cs (0.399, 0.985, 0.210)
Cs (0.601, 0.015, 0.790)
Cs (0.985, 0.399, 0.210)
Hg (0.178, 0.822, 0.500)
Hg (0.822, 0.178, 0.500)
Pb (0.066, 0.066, 0.790)
Pb (0.188, 0.188, 0.547)
Pb (0.812, 0.812, 0.453)
Pb (0.934, 0.934, 0.210)

Properties
Excess energy over the best structure of this formula in the dataset ... 0.000 eV per atom



Below is crystalline Cs4Hg5Pb at its relaxed geometry, with properties calculated at the GGA-PBE level.

a = 9.340 Å, b = 9.340 Å, c = 9.340 Å
α = 96.16°, β = 96.16°, γ = 141.75°
Positions (direct):
Cs (0.000, 0.279, 0.279)
Cs (0.000, 0.721, 0.721)
Cs (0.279, 0.000, 0.279)
Cs (0.721, 0.000, 0.721)
Hg (0.304, 0.304, 0.626)
Hg (0.304, 0.677, 0.000)
Hg (0.677, 0.304, 0.000)
Hg (0.677, 0.677, 0.374)
Hg (0.863, 0.863, 0.000)
Pb (0.377, 0.377, 0.000)



Below is crystalline Cs2HgPb at its relaxed geometry, with properties calculated at the GGA-PBE level.

a = 10.285 Å, b = 10.285 Å, c = 10.285 Å
α = 94.30°, β = 94.30°, γ = 148.21°
Positions (direct):
Cs (0.375, 0.040, 0.165)
Cs (0.790, 0.625, 0.665)
Cs (0.875, 0.210, 0.835)
Cs (0.960, 0.125, 0.335)
Hg (0.000, 0.000, 0.000)
Hg (0.750, 0.250, 0.500)
Pb (0.250, 0.750, 0.500)
Pb (0.500, 0.500, 0.000)



Below is crystalline CsHgPb2 at its relaxed geometry, with properties calculated at the GGA-PBE level.

a = 7.945 Å, b = 7.945 Å, c = 7.945 Å
α = 37.38°, β = 37.38°, γ = 37.38°
Positions (direct):
Cs (0.000, 0.000, 0.000)
Hg (0.500, 0.500, 0.500)
Pb (0.211, 0.211, 0.211)
Pb (0.789, 0.789, 0.789)



Below is crystalline Cs5Hg12Pb2 at its relaxed geometry, with properties calculated at the GGA-PBE level.

a = 10.998 Å, b = 10.998 Å, c = 8.453 Å
α = 97.49°, β = 97.49°, γ = 46.03°
Positions (direct):
Cs (0.000, 0.000, 0.000)
Cs (0.232, 0.232, 0.915)
Cs (0.300, 0.300, 0.447)
Cs (0.700, 0.700, 0.553)
Cs (0.768, 0.768, 0.085)
Hg (0.070, 0.647, 0.764)
Hg (0.102, 0.102, 0.524)
Hg (0.220, 0.580, 0.152)
Hg (0.353, 0.930, 0.236)
Hg (0.420, 0.780, 0.848)
Hg (0.454, 0.454, 0.817)
Hg (0.546, 0.546, 0.183)
Hg (0.580, 0.220, 0.152)
Hg (0.647, 0.070, 0.764)
Hg (0.780, 0.420, 0.848)
Hg (0.898, 0.898, 0.476)
Hg (0.930, 0.353, 0.236)
Pb (0.312, 0.688, 0.500)
Pb (0.688, 0.312, 0.500)



Below is crystalline Cs12Hg5Pb3 at its relaxed geometry, with properties calculated at the GGA-PBE level.

a = 19.593 Å, b = 19.593 Å, c = 19.593 Å
α = 109.47°, β = 109.47°, γ = 109.47°
Positions (direct):
Cs (0.058, 0.229, 0.135)
Cs (0.058, 0.328, 0.922)
Cs (0.078, 0.635, 0.406)
Cs (0.078, 0.942, 0.672)
Cs (0.094, 0.729, 0.672)
Cs (0.094, 0.865, 0.422)
Cs (0.135, 0.058, 0.229)
Cs (0.135, 0.578, 0.906)
Cs (0.172, 0.229, 0.594)
Cs (0.172, 0.442, 0.578)
Cs (0.229, 0.135, 0.058)
Cs (0.229, 0.594, 0.172)
Cs (0.271, 0.328, 0.906)
Cs (0.271, 0.442, 0.365)
Cs (0.328, 0.906, 0.271)
Cs (0.328, 0.922, 0.058)
Cs (0.365, 0.271, 0.442)
Cs (0.365, 0.594, 0.922)
Cs (0.406, 0.078, 0.635)
Cs (0.406, 0.828, 0.771)
Cs (0.422, 0.094, 0.865)
Cs (0.422, 0.828, 0.558)
Cs (0.442, 0.365, 0.271)
Cs (0.442, 0.578, 0.172)
Cs (0.558, 0.422, 0.828)
Cs (0.558, 0.635, 0.729)
Cs (0.578, 0.172, 0.442)
Cs (0.578, 0.906, 0.135)
Cs (0.594, 0.172, 0.229)
Cs (0.594, 0.922, 0.365)
Cs (0.635, 0.406, 0.078)
Cs (0.635, 0.729, 0.558)
Cs (0.672, 0.078, 0.942)
Cs (0.672, 0.094, 0.729)
Cs (0.729, 0.558, 0.635)
Cs (0.729, 0.672, 0.094)
Cs (0.771, 0.406, 0.828)
Cs (0.771, 0.865, 0.942)
Cs (0.828, 0.558, 0.422)
Cs (0.828, 0.771, 0.406)
Cs (0.865, 0.422, 0.094)
Cs (0.865, 0.942, 0.771)
Cs (0.906, 0.135, 0.578)
Cs (0.906, 0.271, 0.328)
Cs (0.922, 0.058, 0.328)
Cs (0.922, 0.365, 0.594)
Cs (0.942, 0.672, 0.078)
Cs (0.942, 0.771, 0.865)
Hg (0.000, 0.000, 0.000)
Hg (0.000, 0.000, 0.500)
Hg (0.000, 0.500, 0.000)
Hg (0.000, 0.500, 0.500)
Hg (0.125, 0.750, 0.875)
Hg (0.125, 0.875, 0.250)
Hg (0.250, 0.125, 0.875)
Hg (0.250, 0.625, 0.375)
Hg (0.375, 0.250, 0.625)
Hg (0.375, 0.625, 0.750)
Hg (0.500, 0.000, 0.000)
Hg (0.500, 0.000, 0.500)
Hg (0.500, 0.500, 0.000)
Hg (0.500, 0.500, 0.500)
Hg (0.625, 0.375, 0.250)
Hg (0.625, 0.750, 0.375)
Hg (0.750, 0.375, 0.625)
Hg (0.750, 0.875, 0.125)
Hg (0.875, 0.125, 0.750)
Hg (0.875, 0.250, 0.125)
Pb (0.125, 0.250, 0.375)
Pb (0.125, 0.375, 0.750)
Pb (0.250, 0.375, 0.125)
Pb (0.250, 0.875, 0.625)
Pb (0.375, 0.125, 0.250)
Pb (0.375, 0.750, 0.125)
Pb (0.625, 0.250, 0.875)
Pb (0.625, 0.875, 0.750)
Pb (0.750, 0.125, 0.375)
Pb (0.750, 0.625, 0.875)
Pb (0.875, 0.625, 0.250)
Pb (0.875, 0.750, 0.625)



| no. | E_form (eV/atom) | magnetic moment (Bohr magnetons per cell) |
| --- | --- | --- |
| 1 | -0.096 | 0.0 |
| 2 | -0.010 | 0.0 |
| 3 | -0.119 | 0.0 |
| 4 | -0.204 | 0.0 |
| 5 | -0.051 | 0.0 |
| 6 | -0.072 | 0.0 |
| 7 | -0.178 | 0.0 |
| 8 | -0.017 | 3.8 |